# Ba3CuGe2O8 PBE-GGA relaxed
data_Ba3CuGe2O8
_chemical_formula_sum 'Ba3 Cu1 Ge2 O8'
_space_group_name_H-M_alt 'P -3 m 1'
_space_group_IT_number 164
_space_group_name_Hall '-P 3 2"'
_cell_length_a 5.7961
_cell_length_b 5.7961
_cell_length_c 7.4887
_cell_angle_alpha 90.00
_cell_angle_beta 90.00
_cell_angle_gamma 120.00
loop_
_atom_site_label
_atom_site_type_symbol
_atom_site_fract_x
_atom_site_fract_y
_atom_site_fract_z
Ba1 Ba 0.0000 0.0000 0.0000
Ba2 Ba 0.3333 0.6667 0.6562
Cu1 Cu 0.0000 0.0000 0.5000
Ge1 Ge 0.3333 0.6667 0.2246
O1 O 0.1682 0.3363 0.3183
O2 O 0.3333 0.6667 0.9933
# Size of the total moment, μB/atom: 0.072
# ΔE_f (raw), eV/atom: -2.030

---

# Ba2CaAl2 PBE-GGA relaxed
data_Ba2CaAl2
_chemical_formula_sum 'Ba4 Ca2 Al4'
_space_group_name_H-M_alt 'P 4/m b m'
_space_group_IT_number 127
_space_group_name_Hall '-P 4 2ab'
_cell_length_a 8.610
_cell_length_b 8.610
_cell_length_c 5.219
_cell_angle_alpha 90.00
_cell_angle_beta 90.00
_cell_angle_gamma 90.00
loop_
_atom_site_label
_atom_site_type_symbol
_atom_site_fract_x
_atom_site_fract_y
_atom_site_fract_z
Ba1 Ba 0.180 0.320 0.000
Ca1 Ca 0.000 0.000 0.500
Al1 Al 0.107 0.607 0.500
# Size of the total moment, μB/atom: 0.195
# Excess energy over the best structure of this formula in the dataset, meV per atom: 0

---

# RePtCl2 PBE-GGA relaxed
data_RePtCl2
_chemical_formula_sum 'Re2 Pt2 Cl4'
_space_group_name_H-M_alt 'C m m m'
_space_group_IT_number 65
_space_group_name_Hall '-C 2 2'
_cell_length_a 5.736
_cell_length_b 7.998
_cell_length_c 2.853
_cell_angle_alpha 90.00
_cell_angle_beta 90.00
_cell_angle_gamma 90.00
loop_
_atom_site_label
_atom_site_type_symbol
_atom_site_fract_x
_atom_site_fract_y
_atom_site_fract_z
Re1 Re 0.000 0.000 0.000
Pt1 Pt 0.000 0.500 0.000
Cl1 Cl 0.250 0.250 0.500
# Size of the total moment, μB/atom: 0.000
# ΔE_f (raw), eV/atom: 1.285
# Excess energy over the best structure of this formula in the dataset, meV per atom: 1265

---

# Cs2KHI PBE-GGA relaxed
data_Cs2KHI
_chemical_formula_sum 'Cs2 K1 H1 I1'
_space_group_name_H-M_alt 'P 4/m m m'
_space_group_IT_number 123
_space_group_name_Hall '-P 4 2'
_cell_length_a 6.508
_cell_length_b 6.508
_cell_length_c 5.492
_cell_angle_alpha 90.00
_cell_angle_beta 90.00
_cell_angle_gamma 90.00
loop_
_atom_site_label
_atom_site_type_symbol
_atom_site_fract_x
_atom_site_fract_y
_atom_site_fract_z
Cs1 Cs 0.000 0.500 0.000
K1 K 0.000 0.000 0.500
H1 H 0.000 0.000 0.000
I1 I 0.500 0.500 0.500
# Size of the total moment, μB/atom: 0.065
# Excess energy over the best structure of this formula in the dataset, meV per atom: 0

---

# Tb3Ho2Pt2 PBE-GGA relaxed
data_Tb3Ho2Pt2
_chemical_formula_sum 'Tb6 Ho4 Pt4'
_space_group_name_H-M_alt 'C 1 2/m 1'
_space_group_IT_number 12
_space_group_name_Hall '-C 2y'
_cell_length_a 12.269
_cell_length_b 3.761
_cell_length_c 9.041
_cell_angle_alpha 90.00
_cell_angle_beta 115.98
_cell_angle_gamma 90.00
loop_
_atom_site_label
_atom_site_type_symbol
_atom_site_fract_x
_atom_site_fract_y
_atom_site_fract_z
Tb1 Tb 0.000 0.000 0.000
Tb2 Tb 0.114 0.000 0.434
Ho1 Ho 0.165 0.500 0.813
Pt1 Pt 0.176 0.500 0.238
# Energy, eV per atom: -5.801
# Size of the total moment, μB/atom: 0.000